(1)
A PBEsol-optimized structure of MnSbAs2. Source: Alexandria via LeMat-Bulk, functional SCAN.

Structure (POSCAR):
```
MnSbAs2
1.0
-0.579 -1.833 -2.419
2.007 -0.143 -2.346
4.593 -7.127 2.329
Mn As Sb
1 2 1
direct
0.500 0.500 0.500
0.771 0.771 0.688
0.229 0.229 0.312
0.000 0.000 0.000
```

Computed properties:
Formation energy (no corrections) ... 0.039 eV/atom


(2)
A PBEsol-optimized structure of MnSbAs2. Source: Alexandria via LeMat-Bulk, functional SCAN.

Structure (POSCAR):
```
MnSbAs2
1.0
5.851 0.000 0.000
0.000 5.851 0.000
-2.925 -2.925 5.961
Sb As Mn
2 4 2
direct
0.250 0.750 0.500
0.000 0.000 0.000
0.125 0.174 0.750
0.826 0.375 0.250
0.424 0.875 0.250
0.625 0.576 0.750
0.500 0.500 0.000
0.750 0.250 0.500
```

Computed properties:
Formation energy (no corrections) ... -0.048 eV/atom


(3)
A PBEsol-optimized structure of MnSbAs. Source: Alexandria via LeMat-Bulk, functional SCAN.

Structure (POSCAR):
```
MnSbAs
1.0
-2.107 -0.472 -2.065
2.118 -0.401 -2.069
0.094 -5.383 3.297
Sb Mn As
1 1 1
direct
0.699 0.699 0.398
0.346 0.346 0.692
0.955 0.955 0.909
```

Computed properties:
Formation energy (no corrections) ... 0.169 eV/atom


(4)
A PBEsol-optimized structure of MnSbAsSe2. Source: Alexandria via LeMat-Bulk, functional SCAN.

Structure (POSCAR):
```
MnSbAsSe2
1.0
-2.990 -0.839 -3.485
-0.074 -4.610 1.174
-3.653 0.807 2.940
Sb Se As Mn
1 2 1 1
direct
0.500 0.500 0.500
0.000 0.000 0.500
0.000 0.500 0.000
0.500 0.000 0.000
0.000 0.000 0.000
```

Computed properties:
Formation energy (no corrections) ... 0.174 eV/atom


Question: Among the records above, which one has the lowest formation energy (no corrections)?
Answer: number 2